## YEr2Se3 (PBE)

Data for crystalline YEr2Se3 at its relaxed geometry.

a b c (Å): 4.0732 5.7128 12.1416
angles (deg): 90.00 90.00 90.00
Space group Immm (No. 71)
Symmetry-distinct sites (fractional):
Y 0.0000 0.0000 0.0000 x2
Er 0.0000 0.0000 0.3368 x4
Se 0.0000 0.5000 0.0000 x2
Se 0.0000 0.5000 0.3297 x4

## Properties
* ΔE_f (raw): -1.715 eV per atom
* total magnetic moment: 0.00 μB/f.u.